# NiBN2O (PBE with a Hubbard U, optimized geometry)
# Uncorrected energy ... -0.2921 Ry/atom
data_NiBN2O
_chemical_formula_sum 'Ni1 B1 N2 O1'
_symmetry_space_group_name_H-M 'P 4/m m m'
_symmetry_Int_Tables_number 123
_symmetry_space_group_name_Hall '-P 4 2'
_cell_length_a 3.6762
_cell_length_b 3.6762
_cell_length_c 3.8005
_cell_angle_alpha 90.00
_cell_angle_beta 90.00
_cell_angle_gamma 90.00
loop_
_atom_site_label
_atom_site_fract_x
_atom_site_fract_y
_atom_site_fract_z
_atom_site_occupancy
Ni1 0.0000 0.0000 0.0000 1
B1 0.5000 0.5000 0.5000 1
N1 0.0000 0.5000 0.0000 1
O1 0.0000 0.0000 0.5000 1